A plane-wave DFT calculation with PBE-GGA was carried out for crystalline LiCe2Ga at its relaxed geometry.

CIF file:
```
data_LiCe2Ga
_chemical_formula_sum 'Li1 Ce2 Ga1'
_cell_length_a 4.364
_cell_length_b 4.364
_cell_length_c 4.604
_cell_angle_alpha 90.00
_cell_angle_beta 90.00
_cell_angle_gamma 90.00
_space_group_name_H-M_alt 'P 4/m m m'
_space_group_IT_number 123
_space_group_name_Hall '-P 4 2'
loop_
_atom_site_label
_atom_site_type_symbol
_atom_site_fract_x
_atom_site_fract_y
_atom_site_fract_z
_atom_site_occupancy
Li1 Li 0.000 0.000 0.000 1
Ce1 Ce 0.000 0.500 0.500 1
Ga1 Ga 0.500 0.500 0.000 1
```

The density of states at the Fermi level comes out at 8.09 states/eV/cell. The calculated volume comes out at 21.92 Å³/atom. The calculation puts the formation enthalpy at 0 K at -0.76 eV per formula unit.



A plane-wave DFT calculation with PBE-GGA was carried out for crystalline TiCd3Au4 at its relaxed geometry.

CIF file:
```
data_TiCd3Au4
_chemical_formula_sum 'Ti1 Cd3 Au4'
_cell_length_a 3.172
_cell_length_b 3.172
_cell_length_c 15.065
_cell_angle_alpha 90.00
_cell_angle_beta 90.00
_cell_angle_gamma 90.00
_space_group_name_H-M_alt 'P 4/m m m'
_space_group_IT_number 123
_space_group_name_Hall '-P 4 2'
loop_
_atom_site_label
_atom_site_type_symbol
_atom_site_fract_x
_atom_site_fract_y
_atom_site_fract_z
_atom_site_occupancy
Ti1 Ti 0.000 0.000 0.000 1
Cd1 Cd 0.000 0.000 0.243 1
Cd2 Cd 0.000 0.000 0.500 1
Au1 Au 0.500 0.500 0.113 1
Au2 Au 0.500 0.500 0.372 1
```

The density of states at the Fermi level comes out at 3.71 states/eV/cell. The calculated volume comes out at 18.95 Å³/atom. The calculation puts the formation enthalpy at 0 K at -1.94 eV per formula unit.



A plane-wave DFT calculation with PBE-GGA was carried out for crystalline Pm3ScSe4 at its relaxed geometry.

CIF file:
```
data_Pm3ScSe4
_chemical_formula_sum 'Pm6 Sc2 Se8'
_cell_length_a 8.344
_cell_length_b 11.673
_cell_length_c 4.074
_cell_angle_alpha 90.00
_cell_angle_beta 90.00
_cell_angle_gamma 90.00
_space_group_name_H-M_alt 'C m m m'
_space_group_IT_number 65
_space_group_name_Hall '-C 2 2'
loop_
_atom_site_label
_atom_site_type_symbol
_atom_site_fract_x
_atom_site_fract_y
_atom_site_fract_z
_atom_site_occupancy
Pm1 Pm 0.000 0.000 0.000 1
Pm2 Pm 0.250 0.250 0.500 1
Sc1 Sc 0.000 0.500 0.000 1
Se1 Se 0.000 0.259 0.000 1
Se2 Se 0.232 0.500 0.500 1
```

The density of states at the Fermi level comes out at 10.11 states/eV/cell. The calculated volume comes out at 24.80 Å³/atom. As for the raw formation energy: -14.0 eV/f.u.



A plane-wave DFT calculation with PBE-GGA was carried out for crystalline Tl8In3Pb2 at its relaxed geometry.

CIF file:
```
data_Tl8In3Pb2
_chemical_formula_sum 'Tl8 In3 Pb2'
_cell_length_a 10.287
_cell_length_b 4.504
_cell_length_c 10.290
_cell_angle_alpha 90.00
_cell_angle_beta 115.71
_cell_angle_gamma 90.00
_space_group_name_H-M_alt 'P 1 2/m 1'
_space_group_IT_number 10
loop_
_space_group_symop_operation_xyz
'x,y,z'
'-x,-y,-z'
'-x,y,-z'
'x,-y,z'
loop_
_atom_site_label
_atom_site_type_symbol
_atom_site_fract_x
_atom_site_fract_y
_atom_site_fract_z
_atom_site_occupancy
Tl1 Tl 0.094 0.000 0.406 1
Tl2 Tl 0.119 0.500 0.895 1
Tl3 Tl 0.367 0.000 0.133 1
Tl4 Tl 0.395 0.500 0.619 1
In1 In 0.269 0.000 0.769 1
In2 In 0.500 0.500 0.000 1
Pb1 Pb 0.235 0.500 0.266 1
```

The density of states at the Fermi level comes out at 6.56 states/eV/cell. The calculated volume comes out at 33.04 Å³/atom. For the energy above the most stable polymorph in this dataset, the calculation gives 17 meV per atom. The calculation puts the formation enthalpy at 0 K at 1.18 eV per formula unit.



> The highest calculated volume belongs to which entry?

Tl8In3Pb2